An optimized crystal structure of Li4Mn3SnO8, computed with GGA+U.

Geometry as POSCAR:
```
Li4Mn3SnO8
1.0
-0.812 -0.057 6.000
-4.873 -0.654 -3.534
2.845 -4.751 -2.699
O Mn Li Sn
8 3 4 1
Direct
0.018 0.744 0.243
0.524 0.756 0.280
0.499 0.226 0.243
0.950 0.248 0.198
0.501 0.774 0.757
0.982 0.256 0.757
0.050 0.752 0.802
0.476 0.244 0.720
0.000 0.500 0.000
0.000 0.500 0.500
0.500 0.000 0.000
0.000 0.000 0.000
0.500 0.500 0.500
0.000 0.000 0.500
0.500 0.500 0.000
0.500 0.000 0.500
```

E   -6.386 eV per atom